# 1
Computed, not measured: a relaxed structure of Pr5ScIn3 at the GGA-PBE level of DFT.

calculated volume: 548.3 Å³ per cell
energy of formation from the pure elements: -0.32 eV/atom
raw total energy: -4.590 eV per atom
calculated density: 6.6 g/cm3

Lattice parameters (Å, degrees): 9.6117 9.6117 6.8524 90.00 90.00 120.00
With the nearest neighbours (Å) after each atom.
Element x y z (fractional)
Pr: 0.0000 0.3257 0.2500  5 In 3.16-3.43
Pr: 0.0000 0.6743 0.7500  5 In 3.16-3.43
Pr: 0.3257 0.0000 0.2500  5 In 3.16-3.43
Pr: 0.3257 0.3257 0.7500  5 In 3.16-3.43
Pr: 0.3333 0.6667 0.0000  8 Pr 3.43-3.67, 6 In 3.64
Pr: 0.3333 0.6667 0.5000  8 Pr 3.43-3.67, 6 In 3.64
Pr: 0.6667 0.3333 0.0000  8 Pr 3.43-3.67, 6 In 3.64
Pr: 0.6667 0.3333 0.5000  8 Pr 3.43-3.67, 6 In 3.64
Pr: 0.6743 0.0000 0.7500  5 In 3.16-3.43
Pr: 0.6743 0.6743 0.2500  5 In 3.16-3.43
Sc: 0.0000 0.0000 0.0000  2 Sc 3.43, 6 Pr 3.57, 6 In 3.63
Sc: 0.0000 0.0000 0.5000  2 Sc 3.43, 6 Pr 3.57, 6 In 3.63
In: 0.0000 0.3325 0.7500  5 Pr 3.16-3.43
In: 0.0000 0.6675 0.2500  5 Pr 3.16-3.43
In: 0.3325 0.0000 0.7500  5 Pr 3.16-3.43
In: 0.3325 0.3325 0.2500  5 Pr 3.16-3.43
In: 0.6675 0.0000 0.2500  5 Pr 3.16-3.43
In: 0.6675 0.6675 0.7500  5 Pr 3.16-3.43

---

# 2
Computed, not measured: a relaxed structure of PrScIn at the GGA-PBE level of DFT.

polymorph energy (0 for the lowest one): 0.067 eV per atom
calculated volume: 83.1 Å³ per cell
energy of formation from the pure elements: -0.27 eV/atom
raw total energy: -4.882 eV per atom
calculated density: 6.0 g/cm3

Lattice parameters (Å, degrees): 7.1498 7.1498 7.1498 151.49 151.49 40.76
With the nearest neighbours (Å) after each atom.
Element x y z (fractional)
Pr: 0.0000 0.0000 0.0000  4 In 3.43, 4 Pr 3.52, 4 Sc 3.53
Sc: 0.6871 0.6871 0.0000  4 In 3.10
In: 0.3244 0.3244 0.0000  4 Sc 3.10, 4 Pr 3.43

---

# 3
Computed, not measured: a relaxed structure of PrScIn at the GGA-PBE level of DFT.

polymorph energy (0 for the lowest one): 0.000 eV per atom
calculated volume: 174.8 Å³ per cell
energy of formation from the pure elements: -0.33 eV/atom
raw total energy: -4.949 eV per atom
calculated density: 5.7 g/cm3

Lattice parameters (Å, degrees): 4.6354 4.6354 8.1351 90.00 90.00 90.00
With the nearest neighbours (Å) after each atom.
Element x y z (fractional)
Pr: 0.2500 0.2500 0.1524  5 In 3.32-3.38, 4 Sc 3.66
Pr: 0.7500 0.7500 0.8476  5 In 3.32-3.38, 4 Sc 3.66
Sc: 0.2500 0.7500 0.5000  4 In 3.05, 4 Sc 3.28
Sc: 0.7500 0.2500 0.5000  4 In 3.05, 4 Sc 3.28
In: 0.2500 0.2500 0.7445  4 Sc 3.05, 5 Pr 3.32-3.38
In: 0.7500 0.7500 0.2555  4 Sc 3.05, 5 Pr 3.32-3.38

---

# 4
Computed, not measured: a relaxed structure of PrSc4In5 at the GGA-PBE level of DFT.

calculated volume: 238.9 Å³ per cell
energy of formation from the pure elements: -0.43 eV/atom
raw total energy: -4.809 eV per atom
calculated density: 6.2 g/cm3

Lattice parameters (Å, degrees): 3.6177 3.6177 18.2572 90.00 90.00 90.00
With the nearest neighbours (Å) after each atom.
Element x y z (fractional)
Pr: 0.0000 0.0000 0.0000  8 In 3.37, 4 Pr 3.62
Sc: 0.0000 0.0000 0.2152  8 In 3.09
Sc: 0.0000 0.0000 0.4055  8 In 3.09, 1 Sc 3.45
Sc: 0.0000 0.0000 0.5945  8 In 3.09, 1 Sc 3.45
Sc: 0.0000 0.0000 0.7848  8 In 3.09
In: 0.5000 0.5000 0.1201  4 Sc 3.09, 4 Pr 3.37
In: 0.5000 0.5000 0.3105  8 Sc 3.09, 1 In 3.46
In: 0.5000 0.5000 0.5000  8 Sc 3.09
In: 0.5000 0.5000 0.6895  8 Sc 3.09, 1 In 3.46
In: 0.5000 0.5000 0.8799  4 Sc 3.09, 4 Pr 3.37

---

# 5
Computed, not measured: a relaxed structure of Pr4ScIn3 at the GGA-PBE level of DFT.

calculated volume: 234.2 Å³ per cell
energy of formation from the pure elements: -0.34 eV/atom
raw total energy: -4.546 eV per atom
calculated density: 6.8 g/cm3

Lattice parameters (Å, degrees): 10.1051 10.1051 10.1051 151.51 151.51 40.72
With the nearest neighbours (Å) after each atom.
Element x y z (fractional)
Pr: 0.1282 0.6282 0.5000  6 In 3.38-3.48, 2 Sc 3.48, 4 Pr 3.52
Pr: 0.3718 0.8718 0.5000  6 In 3.38-3.48, 2 Sc 3.48, 4 Pr 3.52
Pr: 0.6282 0.1282 0.5000  6 In 3.38-3.48, 2 Sc 3.48, 4 Pr 3.52
Pr: 0.8718 0.3718 0.5000  6 In 3.38-3.48, 2 Sc 3.48, 4 Pr 3.52
Sc: 0.0000 0.0000 0.0000  8 Pr 3.48, 4 In 3.52
In: 0.2509 0.2509 0.0000  8 Pr 3.38-3.40, 4 In 3.52
In: 0.5000 0.5000 0.0000  8 Pr 3.48, 4 Sc 3.52
In: 0.7491 0.7491 0.0000  8 Pr 3.38-3.40, 4 In 3.52

---

# 6
Computed, not measured: a relaxed structure of Pr2ScIn at the GGA-PBE level of DFT.

polymorph energy (0 for the lowest one): 0.062 eV per atom
calculated volume: 119.0 Å³ per cell
energy of formation from the pure elements: -0.19 eV/atom
raw total energy: -4.847 eV per atom
calculated density: 6.2 g/cm3

Lattice parameters (Å, degrees): 4.1537 4.1537 6.8961 90.00 90.00 90.00
With the nearest neighbours (Å) after each atom.
Element x y z (fractional)
Pr: 0.0000 0.0000 0.2443  2 Pr 3.37-3.53, 4 In 3.39, 4 Sc 3.43
Pr: 0.0000 0.0000 0.7557  2 Pr 3.37-3.53, 4 In 3.39, 4 Sc 3.43
Sc: 0.5000 0.5000 0.5000  8 Pr 3.43, 2 In 3.45
In: 0.5000 0.5000 0.0000  8 Pr 3.39, 2 Sc 3.45

---

# 7
Computed, not measured: a relaxed structure of Pr2ScIn at the GGA-PBE level of DFT.

polymorph energy (0 for the lowest one): 0.000 eV per atom
calculated volume: 115.9 Å³ per cell
energy of formation from the pure elements: -0.25 eV/atom
raw total energy: -4.909 eV per atom
calculated density: 6.3 g/cm3

Lattice parameters (Å, degrees): 4.8610 4.8610 4.9042 90.00 90.00 90.00
With the nearest neighbours (Å) after each atom.
Element x y z (fractional)
Pr: 0.0000 0.5000 0.0000  4 Pr 3.44, 4 In 3.45, 4 Sc 3.45
Pr: 0.5000 0.0000 0.0000  4 Pr 3.44, 4 In 3.45, 4 Sc 3.45
Sc: 0.0000 0.0000 0.5000  4 In 3.44, 8 Pr 3.45
In: 0.5000 0.5000 0.5000  4 Sc 3.44, 8 Pr 3.45

---

# 8
Computed, not measured: a relaxed structure of PrScIn at the GGA-PBE level of DFT.

polymorph energy (0 for the lowest one): 0.116 eV per atom
calculated volume: 171.2 Å³ per cell
energy of formation from the pure elements: -0.22 eV/atom
raw total energy: -4.833 eV per atom
calculated density: 5.8 g/cm3

Lattice parameters (Å, degrees): 13.8427 13.8427 13.8427 165.28 165.28 20.87
With the nearest neighbours (Å) after each atom.
Element x y z (fractional)
Pr: 0.0682 0.0682 0.0000  4 In 3.32, 5 Pr 3.55-3.72
Pr: 0.9318 0.9318 0.0000  4 In 3.32, 5 Pr 3.55-3.72
Sc: 0.2143 0.2143 0.0000  4 In 3.09, 4 Sc 3.17
Sc: 0.7857 0.7857 0.0000  4 In 3.09, 4 Sc 3.17
In: 0.3519 0.3519 0.0000  4 Sc 3.09, 4 Pr 3.32
In: 0.6481 0.6481 0.0000  4 Sc 3.09, 4 Pr 3.32

---

# 9
Computed, not measured: a relaxed structure of PrScIn2 at the GGA-PBE level of DFT.

calculated volume: 105.0 Å³ per cell
energy of formation from the pure elements: -0.42 eV/atom
raw total energy: -4.563 eV per atom
calculated density: 6.6 g/cm3

Lattice parameters (Å, degrees): 4.8446 4.8446 4.4731 90.00 90.00 90.00
With the nearest neighbours (Å) after each atom.
Element x y z (fractional)
Pr: 0.0000 0.0000 0.0000  8 In 3.30, 4 Sc 3.43
Sc: 0.5000 0.5000 0.0000  8 In 3.30, 4 Pr 3.43
In: 0.0000 0.5000 0.5000  4 Sc 3.30, 4 Pr 3.30, 4 In 3.43
In: 0.5000 0.0000 0.5000  4 Sc 3.30, 4 Pr 3.30, 4 In 3.43

---

# 10
Computed, not measured: a relaxed structure of PrSc3In2 at the GGA-PBE level of DFT.

calculated volume: 318.7 Å³ per cell
energy of formation from the pure elements: -0.25 eV/atom
raw total energy: -5.126 eV per atom
calculated density: 5.3 g/cm3

Lattice parameters (Å, degrees): 9.1363 9.1363 8.0383 110.67 110.67 30.69
With the nearest neighbours (Å) after each atom.
Element x y z (fractional)
Pr: 0.1177 0.1177 0.1768  7 In 3.38-3.68, 6 Sc 3.52-3.74
Pr: 0.8823 0.8823 0.8232  7 In 3.38-3.68, 6 Sc 3.52-3.74
Sc: 0.0767 0.0767 0.7132  3 In 2.93-2.98, 4 Sc 3.27
Sc: 0.3048 0.3048 0.0622  2 In 2.91-3.01, 3 Sc 3.03-3.25
Sc: 0.3710 0.3710 0.4965  4 In 2.99-3.12, 3 Sc 3.25-3.27
Sc: 0.6290 0.6290 0.5035  4 In 2.99-3.12, 3 Sc 3.25-3.27
Sc: 0.6952 0.6952 0.9378  2 In 2.91-3.01, 3 Sc 3.03-3.25
Sc: 0.9233 0.9233 0.2868  3 In 2.93-2.98, 4 Sc 3.27
In: 0.2354 0.2354 0.6603  5 Sc 2.98-3.12
In: 0.4817 0.4817 0.1668  4 Sc 2.91-2.99, 1 In 2.98
In: 0.5183 0.5183 0.8332  4 Sc 2.91-2.99, 1 In 2.98
In: 0.7646 0.7646 0.3397  5 Sc 2.98-3.12

---

# 11
Computed, not measured: a relaxed structure of Pr2Sc2In7 at the GGA-PBE level of DFT.

calculated volume: 337.0 Å³ per cell
energy of formation from the pure elements: 0.00 eV/atom
raw total energy: -3.761 eV per atom
calculated density: 5.8 g/cm3

Lattice parameters (Å, degrees): 7.4864 7.4864 6.0505 90.00 90.00 96.45
With the nearest neighbours (Å) after each atom.
Element x y z (fractional)
Pr: 0.1908 0.1908 0.0000  8 In 3.22-3.57
Pr: 0.8092 0.8092 0.0000  8 In 3.22-3.57
Sc: 0.2675 0.7325 0.5000  7 In 2.94-3.03
Sc: 0.7325 0.2675 0.5000  7 In 2.94-3.03
In: 0.0000 0.0000 0.5000  2 Sc 2.99
In: 0.0000 0.5000 0.2458  2 Sc 2.94, 2 In 2.97-3.08, 2 Pr 3.22
In: 0.0000 0.5000 0.7542  2 Sc 2.94, 2 In 2.97-3.08, 2 Pr 3.22
In: 0.5000 0.0000 0.2458  2 Sc 2.94, 2 In 2.97-3.08, 2 Pr 3.22
In: 0.5000 0.0000 0.7542  2 Sc 2.94, 2 In 2.97-3.08, 2 Pr 3.22
In: 0.5000 0.5000 0.2426  2 In 2.94-3.11, 2 Sc 3.03
In: 0.5000 0.5000 0.7574  2 In 2.94-3.11, 2 Sc 3.03

---

# 12
Computed, not measured: a relaxed structure of PrScIn2 at the GGA-PBE level of DFT.

calculated volume: 109.6 Å³ per cell
energy of formation from the pure elements: -0.26 eV/atom
raw total energy: -4.409 eV per atom
calculated density: 6.3 g/cm3

Lattice parameters (Å, degrees): 10.3211 10.3211 10.3211 19.73 19.73 19.73
With the nearest neighbours (Å) after each atom.
Element x y z (fractional)
Pr: 0.0000 0.0000 0.0000  6 In 3.40, 6 Pr 3.54
Sc: 0.5000 0.5000 0.5000  6 In 3.10
In: 0.2436 0.2436 0.2436  3 Sc 3.10, 3 Pr 3.40
In: 0.7564 0.7564 0.7564  3 Sc 3.10, 3 Pr 3.40

---

| no. | size of the total moment (μB per cell) |
| --- | --- |
| 1 | 1.53 |
| 2 | 0.00 |
| 3 | 2.24 |
| 4 | 0.00 |
| 5 | 0.00 |
| 6 | 0.00 |
| 7 | 0.00 |
| 8 | 1.55 |
| 9 | 0.04 |
| 10 | 0.00 |
| 11 | 0.00 |
| 12 | 0.00 |